Entry 1:
## PrTmLuMg (GGA-PBE)

Data for PrTmLuMg after structural relaxation.

Lattice parameters (Å, degrees): 7.796 7.796 7.796 90.00 90.00 90.00
Space group F-43m (No. 216)
Inequivalent atoms, fractional coordinates:
Pr: 0.000 0.000 0.000 [4 per cell]
Tm: 0.000 0.000 0.500 [4 per cell]
Lu: 0.250 0.250 0.250 [4 per cell]
Mg: 0.250 0.250 0.750 [4 per cell]

Computed properties:
* DFT total energy: -0.280 Ry per atom

***

Entry 2:
## PrYLuMg (GGA-PBE)

Data for PrYLuMg after structural relaxation.

Lattice parameters (Å, degrees): 7.842 7.842 7.842 90.00 90.00 90.00
Space group F-43m (No. 216)
Inequivalent atoms, fractional coordinates:
Pr: 0.000 0.000 0.000 [4 per cell]
Y: 0.000 0.000 0.500 [4 per cell]
Lu: 0.250 0.250 0.250 [4 per cell]
Mg: 0.250 0.250 0.750 [4 per cell]

Computed properties:
* DFT total energy: -0.318 Ry per atom

***

Entry 3:
## PrLuMgZr (GGA-PBE)

Data for PrLuMgZr after structural relaxation.

Lattice parameters (Å, degrees): 7.561 7.561 7.561 90.00 90.00 90.00
Space group F-43m (No. 216)
Inequivalent atoms, fractional coordinates:
Pr: 0.000 0.000 0.000 [4 per cell]
Lu: 0.250 0.250 0.750 [4 per cell]
Mg: 0.250 0.250 0.250 [4 per cell]
Zr: 0.000 0.000 0.500 [4 per cell]

Computed properties:
* DFT total energy: -0.347 Ry per atom